(1)
This record from Alexandria via LeMat-Bulk describes a crystal of Cu3Ir relaxed with PBEsol. The functional is SCAN. Values from VASP.

The structure in Quantum ESPRESSO input format:
```
&SYSTEM
  ibrav = 0, nat = 16, ntyp = 2
/
ATOMIC_SPECIES
Cu 63.55 Cu.upf
Ir 192.22 Ir.upf
ATOMIC_POSITIONS crystal
Cu 0.5776 0.1356 0.7500
Cu 0.2527 0.6223 0.0040
Cu 0.2527 0.6223 0.4960
Cu 0.2473 0.1223 0.5040
Cu 0.2473 0.1223 0.9960
Cu 0.9224 0.6356 0.2500
Cu 0.0776 0.3644 0.7500
Cu 0.7527 0.8777 0.0040
Cu 0.7527 0.8777 0.4960
Cu 0.7473 0.3777 0.5040
Cu 0.7473 0.3777 0.9960
Cu 0.4224 0.8644 0.2500
Ir 0.4246 0.3635 0.2500
Ir 0.0754 0.8635 0.7500
Ir 0.9246 0.1365 0.2500
Ir 0.5754 0.6365 0.7500
CELL_PARAMETERS angstrom
-1.5392 2.0336 3.7047
-2.3872 -4.3111 1.3747
6.8731 -2.4640 4.2083
```

---

(2)
This record from Alexandria via LeMat-Bulk describes a crystal of Cu3Ir relaxed with PBEsol. The functional is SCAN. Values from VASP.

The structure in Quantum ESPRESSO input format:
```
&SYSTEM
  ibrav = 0, nat = 4, ntyp = 2
/
ATOMIC_SPECIES
Ir 192.22 Ir.upf
Cu 63.55 Cu.upf
ATOMIC_POSITIONS crystal
Ir 0.0000 0.5000 0.5000
Cu 0.0000 0.0000 0.0000
Cu 0.5000 0.0000 0.5000
Cu 0.5000 0.5000 0.0000
CELL_PARAMETERS angstrom
-1.2637 1.0655 2.0275
0.3530 -3.8035 2.2187
3.5655 2.4307 0.9449
```

---

Total DFT energy (no corrections) (eV/atom)
-29.1554, -29.1188
ΔH_f (0 K) (eV per atom)
0.019, 0.055